Crystalline Mn2Be2Co5Si at its relaxed geometry. Source: the Alexandria database, functional GGA-PBE.

Properties
* formation energy from raw total energies: -1.87 eV per formula unit
* final energy: -68.61 eV per formula unit

Unit cell a=2.887 b=8.494 c=8.494 alpha=90.00 beta=90.00 gamma=90.00
Atoms (fractional coordinates):
Mn 0.000 0.673 0.173
Mn 0.000 0.327 0.827
Mn 0.000 0.173 0.327
Mn 0.000 0.827 0.673
Be 0.000 0.125 0.625
Be 0.000 0.875 0.375
Be 0.000 0.625 0.875
Be 0.000 0.375 0.125
Co 0.500 0.204 0.066
Co 0.500 0.796 0.934
Co 0.500 0.066 0.796
Co 0.500 0.704 0.434
Co 0.500 0.934 0.204
Co 0.500 0.296 0.566
Co 0.500 0.566 0.704
Co 0.500 0.434 0.296
Co 0.500 0.500 0.000
Co 0.500 0.000 0.500
Si 0.000 0.000 0.000
Si 0.000 0.500 0.500